# 1
This record from Alexandria via LeMat-Bulk describes crystalline Al2CrHg at its relaxed geometry. The functional is PBE-GGA. Values from VASP.

Values from the calculation:
- SG = C2/m
- ΔE_f (eV per atom) = 0.222

Structure (Quantum ESPRESSO input):
```
&SYSTEM
  ibrav = 0, nat = 8, ntyp = 3
/
ATOMIC_SPECIES
Al 26.98 Al.upf
Cr 52.00 Cr.upf
Hg 200.59 Hg.upf
ATOMIC_POSITIONS crystal
Al 0.240 0.000 0.221
Al 0.260 0.500 0.779
Al 0.740 0.500 0.221
Al 0.760 0.000 0.779
Cr 0.000 0.500 0.000
Cr 0.500 0.000 0.000
Hg 0.000 0.000 0.500
Hg 0.500 0.500 0.500
CELL_PARAMETERS angstrom
9.283 0.000 0.000
0.000 3.055 0.000
-1.050 0.000 4.828
```


# 2
This record from Alexandria via LeMat-Bulk describes crystalline Dy6TeAu2Se3 at its relaxed geometry. The functional is PBE-GGA. Values from VASP.

Values from the calculation:
- SG = C2/m
- formation energy from raw total energies (eV/atom) = -1.36

Structure (Quantum ESPRESSO input):
```
&SYSTEM
  ibrav = 0, nat = 12, ntyp = 4
/
ATOMIC_SPECIES
Dy 162.50 Dy.upf
Te 127.60 Te.upf
Au 196.97 Au.upf
Se 78.96 Se.upf
ATOMIC_POSITIONS crystal
Dy 0.009 0.009 0.272
Dy 0.324 0.324 0.884
Dy 0.339 0.339 0.396
Dy 0.661 0.661 0.604
Dy 0.676 0.676 0.116
Dy 0.991 0.991 0.728
Te 0.500 0.500 0.000
Au 0.179 0.179 0.370
Au 0.821 0.821 0.630
Se 0.159 0.159 0.854
Se 0.500 0.500 0.500
Se 0.841 0.841 0.146
CELL_PARAMETERS angstrom
9.292 -2.033 0.000
9.292 2.033 0.000
-2.587 0.000 8.142
```


# 3
This record from Alexandria via LeMat-Bulk describes crystalline Ga3GeOs at its relaxed geometry. The functional is PBE-GGA. Values from VASP.

Values from the calculation:
- SG = Pm-3m
- polymorph energy (0 for the lowest one) (eV per atom) = 0.000
- ΔE_f (eV per atom) = 0.358

Structure (Quantum ESPRESSO input):
```
&SYSTEM
  ibrav = 0, nat = 5, ntyp = 3
/
ATOMIC_SPECIES
Ga 69.72 Ga.upf
Ge 72.64 Ge.upf
Os 190.23 Os.upf
ATOMIC_POSITIONS crystal
Ga 0.000 0.000 0.500
Ga 0.000 0.500 0.000
Ga 0.500 0.000 0.000
Ge 0.500 0.500 0.500
Os 0.000 0.000 0.000
CELL_PARAMETERS angstrom
4.822 0.000 0.000
0.000 4.822 0.000
0.000 0.000 4.822
```


# 4
This record from Alexandria via LeMat-Bulk describes crystalline Ti3Mo at its relaxed geometry. The functional is PBE-GGA. Values from VASP.

Values from the calculation:
- SG = Imm2
- ΔE_f (eV per atom) = 0.066

Structure (Quantum ESPRESSO input):
```
&SYSTEM
  ibrav = 0, nat = 8, ntyp = 2
/
ATOMIC_SPECIES
Ti 47.87 Ti.upf
Mo 95.94 Mo.upf
ATOMIC_POSITIONS crystal
Ti 0.000 0.000 0.000
Ti 0.000 0.250 0.716
Ti 0.000 0.750 0.716
Ti 0.500 0.250 0.216
Ti 0.500 0.500 0.500
Ti 0.500 0.750 0.216
Mo 0.000 0.500 0.979
Mo 0.500 0.000 0.479
CELL_PARAMETERS angstrom
2.722 0.000 0.000
0.000 9.258 0.000
0.000 0.000 5.302
```


# 5
This record from Alexandria via LeMat-Bulk describes crystalline Ac2CeAl3Au12 at its relaxed geometry. The functional is PBE-GGA. Values from VASP.

Values from the calculation:
- SG = R-3m
- ΔE_f (eV per atom) = -0.363

Structure (Quantum ESPRESSO input):
```
&SYSTEM
  ibrav = 0, nat = 18, ntyp = 4
/
ATOMIC_SPECIES
Ac 227.00 Ac.upf
Ce 140.12 Ce.upf
Al 26.98 Al.upf
Au 196.97 Au.upf
ATOMIC_POSITIONS crystal
Ac 0.137 0.137 0.137
Ac 0.863 0.863 0.863
Ce 0.500 0.500 0.500
Al 0.000 0.500 0.500
Al 0.500 0.000 0.500
Al 0.500 0.500 0.000
Au 0.064 0.628 0.628
Au 0.096 0.096 0.683
Au 0.096 0.683 0.096
Au 0.317 0.904 0.904
Au 0.372 0.372 0.936
Au 0.372 0.936 0.372
Au 0.628 0.064 0.628
Au 0.628 0.628 0.064
Au 0.683 0.096 0.096
Au 0.904 0.317 0.904
Au 0.904 0.904 0.317
Au 0.936 0.372 0.372
CELL_PARAMETERS angstrom
3.490 2.015 10.201
-3.490 2.015 10.201
0.000 -4.029 10.201
```


# 6
This record from Alexandria via LeMat-Bulk describes crystalline LiTbBeIn at its relaxed geometry. The functional is PBE-GGA. Values from VASP.

Values from the calculation:
- SG = F-43m
- ΔE_f (eV per atom) = -0.152

Structure (Quantum ESPRESSO input):
```
&SYSTEM
  ibrav = 0, nat = 16, ntyp = 4
/
ATOMIC_SPECIES
Li 6.94 Li.upf
Tb 158.93 Tb.upf
Be 9.01 Be.upf
In 114.82 In.upf
ATOMIC_POSITIONS crystal
Li 0.000 0.000 0.000
Li 0.000 0.500 0.500
Li 0.500 0.000 0.500
Li 0.500 0.500 0.000
Tb 0.250 0.250 0.250
Tb 0.250 0.750 0.750
Tb 0.750 0.250 0.750
Tb 0.750 0.750 0.250
Be 0.000 0.000 0.500
Be 0.000 0.500 0.000
Be 0.500 0.000 0.000
Be 0.500 0.500 0.500
In 0.250 0.250 0.750
In 0.250 0.750 0.250
In 0.750 0.250 0.250
In 0.750 0.750 0.750
CELL_PARAMETERS angstrom
6.615 0.000 0.000
0.000 6.615 0.000
0.000 0.000 6.615
```